Below is a geometry-optimized LaTa2Be structure, with properties calculated at the GGA-PBE level. Values from VASP.

Geometry as Quantum ESPRESSO input:
```
&SYSTEM
  ibrav = 0, nat = 4, ntyp = 3
/
ATOMIC_SPECIES
Be 9.01 Be.upf
La 138.91 La.upf
Ta 180.95 Ta.upf
ATOMIC_POSITIONS angstrom
Be 2.204 2.107 0.000
La 2.204 0.000 2.107
Ta 0.000 0.000 0.000
Ta 0.000 2.107 2.107
CELL_PARAMETERS angstrom
4.407 0.000 0.000
0.000 4.214 0.000
0.000 0.000 4.214
```

Results
theoretical density = 10.8 g/cm3
E = -7.4020 eV per atom
calculated formation energy = 0.69 eV/atom
space-group type = P4/mmm
magnetization = 0.00 Bohr magnetons per cell